Entry from Alexandria: a geometry-optimized Pm6MgNi2 structure (PBE).

Output
Its density of states at the Fermi level is 20.18 states/eV per cell. Its volume is 27.63 Å³/atom. The magnetic moment comes out at 0.00 μB/cell. The calculation puts the density at 6.8 g/cm3. For the calculated formation energy, the calculation gives -0.17 eV/atom.

The structure in POSCAR format:
```
Pm6MgNi2
1.0
8.168 -0.086 -2.869
-4.419 7.037 -2.432
0.015 0.086 8.657
Pm Mg Ni
12 2 4
direct
0.525 0.707 0.818
0.475 0.293 0.182
0.110 0.293 0.818
0.890 0.707 0.182
0.799 0.768 0.567
0.201 0.232 0.433
0.201 0.768 0.969
0.799 0.232 0.031
0.690 0.369 0.679
0.310 0.631 0.321
0.310 0.989 0.679
0.690 0.011 0.321
0.000 0.500 0.500
0.000 0.000 0.000
0.500 0.380 0.880
0.500 0.620 0.120
0.655 0.000 0.655
0.345 0.000 0.345
```


Entry from Alexandria: a geometry-optimized Ta4NiS8 structure (PBE).

Output
Its density of states at the Fermi level is 9.40 states/eV per cell. Its volume is 19.67 Å³/atom. The magnetic moment comes out at 0.13 μB/cell. The calculation puts the density at 6.7 g/cm3. The energy relative to the elements, uncorrected comes out at -0.961 eV per atom.

The structure in POSCAR format:
```
Ta4NiS8
1.0
3.351 0.000 0.000
-1.675 2.902 0.000
0.000 0.000 26.296
Ta Ni S
4 1 8
direct
0.000 0.000 0.888
0.000 0.000 0.373
0.000 0.000 0.112
0.000 0.000 0.627
0.000 0.000 0.000
0.333 0.667 0.171
0.333 0.667 0.686
0.667 0.333 0.829
0.667 0.333 0.314
0.667 0.333 0.947
0.667 0.333 0.433
0.333 0.667 0.053
0.333 0.667 0.567
```